Arrangement i

Here is a crystal of Mg5Fe relaxed with PBEsol from Alexandria. Energies are from SCAN.

The structure belongs to space group Cmmm (No. 65); the cell edges are 4.2729, 12.6183 and 4.2856 Å and the angles 90.00°, 90.00° and 90.00°. The inequivalent atoms are Mg at (0.0000, 0.0000, 0.0000), Mg at (0.0000, 0.1561, 0.5000), Mg at (0.0000, 0.3444, 0.0000) and Fe at (0.0000, 0.5000, 0.5000).

***

Arrangement ii

Here is a crystal of Mg5Fe relaxed with PBEsol from Alexandria. Energies are from SCAN.

The structure belongs to space group P6/mmm (No. 191); the cell edges are 5.5428, 5.5428 and 5.0144 Å and the angles 90.00°, 90.00° and 120.00°. The inequivalent atoms are Mg at (0.0000, 0.5000, 0.0000), Mg at (0.3333, 0.6667, 0.5000) and Fe at (0.0000, 0.0000, 0.5000).

***

It is arrangement i that is the most stable of them.

***

Arrangement i

Here is a crystal of MgMnFe relaxed with PBEsol from Alexandria. Energies are from SCAN.

The structure belongs to space group F-43m (No. 216); the cell edges are 5.5026, 5.5026 and 5.5026 Å and the angles 90.00°, 90.00° and 90.00°. The inequivalent atoms are Mg at (0.0000, 0.0000, 0.0000), Mn at (0.0000, 0.0000, 0.5000) and Fe at (0.2500, 0.2500, 0.7500).

***

Arrangement ii

Here is a crystal of MgMnFe relaxed with PBEsol from Alexandria. Energies are from SCAN.

The structure belongs to space group P3m1 (No. 156); the cell edges are 2.6336, 2.6336 and 6.3825 Å and the angles 90.00°, 90.00° and 120.00°. The inequivalent atoms are Mg at (0.0000, 0.0000, 0.0000), Mn at (0.6667, 0.3333, 0.6358) and Fe at (0.3333, 0.6667, 0.3576).

***

It is arrangement ii that is the most stable of them.

***

Arrangement i

Here is a crystal of Mg2FeMo relaxed with PBEsol from Alexandria. Energies are from SCAN.

The structure belongs to space group P4mm (No. 99); the cell edges are 2.9554, 2.9554 and 7.3346 Å and the angles 90.00°, 90.00° and 90.00°. The inequivalent atoms are Mg at (0.0000, 0.0000, 0.0000), Mg at (0.5000, 0.5000, 0.3213), Fe at (0.5000, 0.5000, 0.7642) and Mo at (0.0000, 0.0000, 0.5930).

***

Arrangement ii

Here is a crystal of Mg2FeMo relaxed with PBEsol from Alexandria. Energies are from SCAN.

The structure belongs to space group F-43m (No. 216); the cell edges are 6.1425, 6.1425 and 6.1425 Å and the angles 90.00°, 90.00° and 90.00°. The inequivalent atoms are Mg at (0.0000, 0.0000, 0.0000), Mg at (0.2500, 0.2500, 0.2500), Fe at (0.0000, 0.0000, 0.5000) and Mo at (0.2500, 0.2500, 0.7500).

***

It is arrangement i that is the most stable of them.

***

Arrangement i

Here is a crystal of Mg4FeO5 relaxed with PBEsol from Alexandria. Energies are from SCAN.

The structure belongs to space group Immm (No. 71); the cell edges are 2.9764, 4.2069 and 15.0486 Å and the angles 90.00°, 90.00° and 90.00°. The inequivalent atoms are Mg at (0.0000, 0.0000, 0.1003), Mg at (0.0000, 0.0000, 0.2990), Fe at (0.0000, 0.0000, 0.5000), O at (0.0000, 0.5000, 0.1039), O at (0.0000, 0.5000, 0.3005) and O at (0.0000, 0.5000, 0.5000).

***

Arrangement ii

Here is a crystal of Mg4FeO5 relaxed with PBEsol from Alexandria. Energies are from SCAN.

The structure belongs to space group R-3m (No. 166, hexagonal axes); the cell edges are 2.9724, 2.9724 and 36.8295 Å and the angles 90.00°, 90.00° and 120.00°. The inequivalent atoms are Mg at (0.0000, 0.0000, 0.0994), Mg at (0.0000, 0.0000, 0.3002), Fe at (0.0000, 0.0000, 0.5000), O at (0.0000, 0.0000, 0.0000), O at (0.0000, 0.0000, 0.2018) and O at (0.0000, 0.0000, 0.3995).

***

It is arrangement ii that is the most stable of them.

***

Arrangement i

Here is a crystal of MgFe2Re relaxed with PBEsol from Alexandria. Energies are from SCAN.

The structure belongs to space group Immm (No. 71); the cell edges are 3.1070, 4.2467 and 7.8003 Å and the angles 90.00°, 90.00° and 90.00°. The inequivalent atoms are Mg at (0.0000, 0.0000, 0.0000), Fe at (0.0000, 0.5000, 0.2392) and Re at (0.0000, 0.0000, 0.5000).

***

Arrangement ii

Here is a crystal of MgFe2Re relaxed with PBEsol from Alexandria. Energies are from SCAN.

The structure belongs to space group Imm2 (No. 44); the cell edges are 2.7590, 4.3032 and 8.7325 Å and the angles 90.00°, 90.00° and 90.00°. The inequivalent atoms are Mg at (0.0000, 0.0000, 0.0000), Fe at (0.0000, 0.0000, 0.4867), Fe at (0.0000, 0.5000, 0.7653) and Re at (0.0000, 0.5000, 0.2218).

***

It is arrangement ii that is the most stable of them.

***

Arrangement i

Here is a crystal of Mg2FeRu relaxed with PBEsol from Alexandria. Energies are from SCAN.

The structure belongs to space group P4mm (No. 99); the cell edges are 2.9558, 2.9558 and 7.2373 Å and the angles 90.00°, 90.00° and 90.00°. The inequivalent atoms are Mg at (0.0000, 0.0000, 0.0000), Mg at (0.5000, 0.5000, 0.3378), Fe at (0.5000, 0.5000, 0.7606) and Ru at (0.0000, 0.0000, 0.5878).

***

Arrangement ii

Here is a crystal of Mg2FeRu relaxed with PBEsol from Alexandria. Energies are from SCAN.

The structure belongs to space group Imm2 (No. 44); the cell edges are 3.0780, 4.4873 and 8.8918 Å and the angles 90.00°, 90.00° and 90.00°. The inequivalent atoms are Mg at (0.0000, 0.0000, 0.0000), Mg at (0.0000, 0.5000, 0.2217), Fe at (0.0000, 0.0000, 0.4626) and Ru at (0.0000, 0.5000, 0.7600).

***

Arrangement iii

Here is a crystal of Mg2FeRu relaxed with PBEsol from Alexandria. Energies are from SCAN.

The structure belongs to space group Fm-3m (No. 225); the cell edges are 6.1935, 6.1935 and 6.1935 Å and the angles 90.00°, 90.00° and 90.00°. The inequivalent atoms are Mg at (0.2500, 0.2500, 0.2500), Fe at (0.0000, 0.0000, 0.0000) and Ru at (0.0000, 0.0000, 0.5000).

***

It is arrangement i that is the most stable of them.

***

Arrangement i

Here is a crystal of Mg2FeSb relaxed with PBEsol from Alexandria. Energies are from SCAN.

The structure belongs to space group R-3m (No. 166, hexagonal axes); the cell edges are 3.1127, 3.1127 and 27.8623 Å and the angles 90.00°, 90.00° and 120.00°. The inequivalent atoms are Mg at (0.0000, 0.0000, 0.2393), Fe at (0.0000, 0.0000, 0.5000) and Sb at (0.0000, 0.0000, 0.0000).

***

Arrangement ii

Here is a crystal of Mg2FeSb relaxed with PBEsol from Alexandria. Energies are from SCAN.

The structure belongs to space group Cmmm (No. 65); the cell edges are 5.6902, 8.3589 and 3.1799 Å and the angles 90.00°, 90.00° and 90.00°. The inequivalent atoms are Mg at (0.2500, 0.2500, 0.0000), Fe at (0.0000, 0.0000, 0.5000) and Sb at (0.0000, 0.5000, 0.5000).

***

It is arrangement ii that is the most stable of them.